*one*
Crystalline Hf3NiPd at its relaxed geometry, computed with PBE.

Calculated volume, Å³ per cell: 186
D(E_F), states/eV/atom: 1.060
SG: No. 12

a b c (Å): 3.323 7.242 7.959
angles (deg): 92.22 89.98 103.25
Atoms (fractional coordinates):
Hf 0.068 0.169 0.430
Pd 0.621 0.275 0.160
Hf 0.424 0.881 0.650
Ni 0.816 0.665 0.801
Hf 0.620 0.273 0.772
Hf 0.976 0.985 0.992
Ni 0.228 0.489 0.621
Pd 0.423 0.879 0.261
Hf 0.782 0.597 0.396
Hf 0.262 0.557 0.025


*two*
Crystalline Hf3NiPd at its relaxed geometry, computed with PBE.

Calculated volume, Å³ per cell: 107
D(E_F), states/eV/atom: 1.657
SG: No. 221

a b c (Å): 4.748 4.748 4.748
angles (deg): 90.00 90.00 90.00
Atoms (fractional coordinates):
Pd 0.500 0.500 0.500
Ni 0.000 0.000 0.000
Hf 0.000 0.500 0.000
Hf 0.000 0.000 0.500
Hf 0.500 0.000 0.000


Which of them is the least stable? Correct choice: *two*.


*one*
Crystalline HfNi3Pd at its relaxed geometry, computed with PBE.

Calculated volume, Å³ per cell: 90
D(E_F), states/eV/atom: 0.421
SG: No. 221

a b c (Å): 4.485 4.485 4.485
angles (deg): 90.00 90.00 90.00
Atoms (fractional coordinates):
Pd 0.500 0.500 0.500
Hf 0.000 0.000 0.000
Ni 0.000 0.000 0.500
Ni 0.500 0.000 0.000
Ni 0.000 0.500 0.000


*two*
Crystalline HfNi3Pd at its relaxed geometry, computed with PBE.

Calculated volume, Å³ per cell: 89
D(E_F), states/eV/atom: 1.373
SG: No. 221

a b c (Å): 4.467 4.467 4.467
angles (deg): 90.00 90.00 90.00
Atoms (fractional coordinates):
Ni 0.000 0.500 0.000
Ni 0.500 0.000 0.000
Hf 0.500 0.500 0.500
Pd 0.000 0.000 0.000
Ni 0.000 0.000 0.500


Which of them is the least stable? Correct choice: *one*.


*one*
Crystalline HfNiPdPt at its relaxed geometry, computed with PBE.

Calculated volume, Å³ per cell: 63
D(E_F), states/eV/atom: 0.386
SG: No. 216

a b c (Å): 4.466 4.466 4.466
angles (deg): 60.00 60.00 60.00
Atoms (fractional coordinates):
Pd 0.750 0.750 0.750
Ni 0.500 0.500 0.500
Hf 0.000 0.000 0.000
Pt 0.250 0.250 0.250


*two*
Crystalline HfNiPdPt at its relaxed geometry, computed with PBE.

Calculated volume, Å³ per cell: 61
D(E_F), states/eV/atom: 0.097
SG: No. 47

a b c (Å): 3.908 3.935 3.974
angles (deg): 90.00 90.00 90.00
Atoms (fractional coordinates):
Pt 0.500 0.000 0.500
Pd 0.500 0.500 0.000
Hf 0.000 0.500 0.500
Ni 0.000 0.000 0.000


Which of them is the least stable? Correct choice: *one*.


*one*
Crystalline PrHfNi2 at its relaxed geometry, computed with PBE.

Calculated volume, Å³ per cell: 81
D(E_F), states/eV/atom: 0.906
SG: No. 166

a b c (Å): 4.378 4.378 5.485
angles (deg): 66.47 66.47 60.00
Atoms (fractional coordinates):
Pr 0.500 0.500 0.500
Ni 0.706 0.706 0.882
Ni 0.294 0.294 0.118
Hf 0.000 0.000 0.000


*two*
Crystalline PrHfNi2 at its relaxed geometry, computed with PBE.

Calculated volume, Å³ per cell: 75
D(E_F), states/eV/atom: 1.144
SG: No. 123

a b c (Å): 3.275 3.275 7.009
angles (deg): 90.00 90.00 90.00
Atoms (fractional coordinates):
Hf 0.500 0.500 0.000
Ni 0.000 0.000 0.193
Ni 0.000 0.000 0.807
Pr 0.500 0.500 0.500


Which of them is the least stable? Correct choice: *one*.


*one*
Crystalline HfNiPt at its relaxed geometry, computed with PBE.

Calculated volume, Å³ per cell: 94
D(E_F), states/eV/atom: 0.331
SG: No. 71

a b c (Å): 4.397 5.280 5.280
angles (deg): 97.87 65.40 65.40
Atoms (fractional coordinates):
Pt 0.253 0.247 0.247
Pt 0.747 0.753 0.753
Ni 0.500 0.354 0.646
Hf 0.000 0.807 0.193
Ni 0.500 0.646 0.354
Hf 0.000 0.193 0.807


*two*
Crystalline HfNiPt at its relaxed geometry, computed with PBE.

Calculated volume, Å³ per cell: 53
D(E_F), states/eV/atom: 0.417
SG: No. 10

a b c (Å): 5.500 3.863 3.528
angles (deg): 90.00 90.00 45.25
Atoms (fractional coordinates):
Ni 0.000 0.000 0.500
Hf 0.500 0.500 0.000
Pt 0.000 0.500 0.000


Which of them is the least stable? Correct choice: *two*.


*one*
Crystalline HfNiPt3 at its relaxed geometry, computed with PBE.

Calculated volume, Å³ per cell: 156
D(E_F), states/eV/atom: 0.886
SG: No. 12

a b c (Å): 4.121 5.591 9.162
angles (deg): 129.52 103.00 90.00
Atoms (fractional coordinates):
Pt 0.999 0.249 0.997
Ni 0.811 0.374 0.622
Pt 0.605 0.227 0.211
Pt 0.001 0.751 0.003
Hf 0.379 0.248 0.758
Hf 0.621 0.752 0.242
Pt 0.395 0.773 0.789
Pt 0.203 0.184 0.406
Pt 0.797 0.816 0.594
Ni 0.189 0.626 0.378


*two*
Crystalline HfNiPt3 at its relaxed geometry, computed with PBE.

Calculated volume, Å³ per cell: 116
D(E_F), states/eV/atom: 0.617
SG: No. 221

a b c (Å): 4.879 4.879 4.879
angles (deg): 90.00 90.00 90.00
Atoms (fractional coordinates):
Pt 0.000 0.000 0.500
Ni 0.500 0.500 0.500
Pt 0.500 0.000 0.000
Pt 0.000 0.500 0.000
Hf 0.000 0.000 0.000


*three*
Crystalline HfNiPt3 at its relaxed geometry, computed with PBE.

Calculated volume, Å³ per cell: 93
D(E_F), states/eV/atom: 1.062
SG: No. 221

a b c (Å): 4.529 4.529 4.529
angles (deg): 90.00 90.00 90.00
Last column: magnetic moment on the atom in μB.
Atoms (fractional coordinates):
Pt 0.000 0.500 0.000  0.00
Hf 0.500 0.500 0.500  -0.01
Ni 0.000 0.000 0.000  0.13
Pt 0.000 0.000 0.500  0.02
Pt 0.500 0.000 0.000  -0.01


Which of them is the least stable? Correct choice: *two*.


*one*
Crystalline Hf2Ni4Pt at its relaxed geometry, computed with PBE.

Calculated volume, Å³ per cell: 102
D(E_F), states/eV/atom: 0.560
SG: No. 139

a b c (Å): 3.480 3.480 8.744
angles (deg): 101.48 101.48 90.00
Atoms (fractional coordinates):
Ni 0.250 0.750 0.500
Pt 0.000 0.000 0.000
Hf 0.400 0.400 0.800
Ni 0.750 0.250 0.500
Ni 0.152 0.152 0.304
Ni 0.848 0.848 0.696
Hf 0.600 0.600 0.200


*two*
Crystalline Hf2Ni4Pt at its relaxed geometry, computed with PBE.

Calculated volume, Å³ per cell: 130
D(E_F), states/eV/atom: 0.757
SG: No. 139

a b c (Å): 4.527 4.527 7.095
angles (deg): 71.39 71.39 90.00
Atoms (fractional coordinates):
Pt 0.000 0.000 0.000
Ni 0.805 0.805 0.391
Ni 0.000 0.500 0.000
Ni 0.500 0.000 0.000
Hf 0.620 0.620 0.759
Ni 0.195 0.195 0.609
Hf 0.380 0.380 0.241


Which of them is the least stable? Correct choice: *two*.


*one*
Crystalline Hf4NiPt at its relaxed geometry, computed with PBE.

Calculated volume, Å³ per cell: 234
D(E_F), states/eV/atom: 1.005
SG: No. 12

a b c (Å): 3.209 5.542 13.171
angles (deg): 89.92 90.00 90.00
Atoms (fractional coordinates):
Hf 0.500 0.839 0.156
Hf 0.000 0.339 0.656
Ni 0.000 0.000 0.000
Hf 0.000 0.661 0.344
Hf 0.500 0.828 0.657
Hf 0.500 0.172 0.343
Pt 0.000 0.000 0.500
Ni 0.500 0.500 0.500
Hf 0.000 0.672 0.843
Hf 0.000 0.328 0.157
Hf 0.500 0.161 0.844
Pt 0.500 0.500 0.000


*two*
Crystalline Hf4NiPt at its relaxed geometry, computed with PBE.

Calculated volume, Å³ per cell: 114
D(E_F), states/eV/atom: 1.218
SG: No. 97

a b c (Å): 5.340 5.340 5.340
angles (deg): 104.24 104.24 120.54
Atoms (fractional coordinates):
Hf 0.589 0.089 0.179
Pt 0.500 0.500 0.000
Hf 0.911 0.411 0.821
Hf 0.089 0.911 0.500
Hf 0.411 0.589 0.500
Ni 0.000 0.000 0.000


Which of them is the least stable? Correct choice: *one*.